DFT (PBE-GGA) results for crystalline Tm2Sn2PRh4 at its relaxed geometry.

Output
calculated volume = 19.0 Å³ per atom
total DFT energy (no corrections) = -6.288 eV per atom
energy of formation = -0.536 eV per atom

Structure (extended XYZ):
```
9
Lattice="-5.1610 1.6761 -3.0429 4.4107 -3.2294 -2.9701 -0.3161 -4.3656 4.4211" Properties=species:S:1:pos:R:3 pbc="T T T"
Tm 2.8738 -5.3305 1.0184
Rh -1.5995 -1.0897 -1.1904
Tm 1.2208 -2.2645 0.4326
Sn 0.6485 -2.6754 -2.6437
Sn -1.7149 -3.2435 1.0519
Rh 0.5331 -4.8291 -0.4014
P 0.0000 0.0000 0.0000
Rh 0.8980 -4.0738 2.5227
Rh 3.1966 -3.5212 -1.0717
```



DFT (PBE-GGA) results for crystalline Tm3SnP2Rh9 at its relaxed geometry.

Output
calculated volume = 19.6 Å³ per atom
total DFT energy (no corrections) = -6.958 eV per atom
energy of formation = -0.665 eV per atom

Structure (extended XYZ):
```
15
Lattice="-1.0513 3.5133 -4.8011 -1.1230 -5.9290 -0.2917 -8.6627 1.4937 2.9899" Properties=species:S:1:pos:R:3 pbc="T T T"
Rh -2.7923 -0.8470 -0.0084
Tm -3.3529 0.7586 -2.5119
Rh -3.4131 -4.1250 -0.1696
Tm 0.0000 0.0000 0.0000
P -8.3528 1.6208 -0.7862
Tm -7.4841 -1.6806 0.4089
Sn -4.3313 0.7469 1.4949
Rh -6.8426 1.2606 0.7211
Rh -3.9944 -2.1826 -2.8241
Rh -0.5615 -2.9645 -0.1458
Rh -0.5256 1.7567 -2.4006
Rh -7.4238 3.2030 -1.9333
Rh -8.0447 -0.0750 -2.0945
Rh -1.0872 -1.2078 -2.5464
P -2.4842 -2.5427 -1.3168
```



DFT (PBE-GGA) results for crystalline Y2SnPRh at its relaxed geometry.

Output
calculated volume = 30.2 Å³ per atom
total DFT energy (no corrections) = -5.540 eV per atom
energy of formation = 0.398 eV per atom

Structure (extended XYZ):
```
5
Lattice="-4.7511 2.1463 -2.1213 -2.3455 -3.9618 1.2447 -1.2020 2.2831 5.0022" Properties=species:S:1:pos:R:3 pbc="T T T"
Y -0.6010 1.1416 2.5011
Sn 0.0000 0.0000 0.0000
Rh -1.1728 -1.9809 0.6223
Y -2.3755 1.0732 -1.0606
P -4.1493 0.2338 2.0628
```



DFT (PBE-GGA) results for crystalline SrP2Rh at its relaxed geometry.

Output
calculated volume = 18.6 Å³ per atom
ΔE to the lowest computed polymorph = 807 meV/atom
total DFT energy (no corrections) = -4.967 eV per atom
energy of formation = -0.004 eV per atom

Structure (extended XYZ):
```
4
Lattice="4.3389 0.0000 0.0000 0.0000 4.3389 0.0000 0.0000 0.0000 3.9514" Properties=species:S:1:pos:R:3 pbc="T T T"
Rh 2.1695 0.0000 1.9757
Sr 0.0000 2.1695 1.9757
P 0.0000 0.0000 0.0000
P 2.1695 2.1695 0.0000
```